Entry 1:
The following is a PBE calculation of Th3Ga4Ir2 after structural relaxation, from the Alexandria database.

## Properties
total DFT energy (no corrections) = -6.58 eV/atom

a b c (Å): 4.402 5.985 8.556
angles (deg): 69.91 75.09 68.42
Fractional coordinates of all 9 atoms:
Th1 0.317 0.727 0.638
Th2 0.000 0.000 0.000
Th3 0.683 0.273 0.362
Ga1 0.257 0.406 0.081
Ga2 0.743 0.594 0.919
Ga3 0.017 0.322 0.643
Ga4 0.983 0.678 0.357
Ir1 0.393 0.941 0.272
Ir2 0.607 0.059 0.728

=====

Entry 2:
The following is a PBE calculation of Th2GaIr after structural relaxation, from the Alexandria database.

## Properties
total DFT energy (no corrections) = -7.25 eV/atom

a b c (Å): 3.664 3.664 7.199
angles (deg): 90.00 90.00 90.00
Fractional coordinates of all 4 atoms:
Ir1 0.500 0.500 0.000
Ga1 0.500 0.500 0.500
Th1 0.000 0.000 0.768
Th2 0.000 0.000 0.232

=====

no.,calculated formation energy (eV per atom)
1,-0.790
2,-0.567